Material: Al3Cr
Method: DFT, PBE
State: optimized geometry

Results
Fermi-level density of states (states/eV/f.u.): 1.92
Density (g/cm3): 3.69
Energy relative to the elements (eV/atom): -0.03

Unit cell a=4.8160 b=4.8160 c=4.5722 alpha=77.67 beta=77.67 gamma=35.39
Site moments in Bohr magnetons follow the coordinates.
Element x y z (fractional)
Al: 0.5000 0.5000 0.5000  -0.03
Al: 0.2595 0.2595 0.2339  -0.01
Al: 0.7405 0.7405 0.7661  -0.01
Cr: 0.0000 0.0000 0.0000  2.07

=====

Material: LiUAsO6
Method: DFT, PBE
State: optimized geometry

Results
Uncorrected formation energy (eV per atom): -2.05
Fermi-level density of states (states/eV/f.u.): 0.00
Density (g/cm3): 6.10
Polymorph energy (0 for the lowest one) (eV/f.u.): 1.738

Unit cell a=5.2879 b=5.2879 c=9.3509 alpha=90.00 beta=90.00 gamma=120.00
Element x y z (fractional)
O: 0.3769 0.3427 0.8611
O: 0.0342 0.3769 0.1389
O: 0.6231 0.6573 0.1389
O: 0.6573 0.6231 0.6389
O: 0.6231 0.9658 0.3611
O: 0.3427 0.9658 0.1389
O: 0.9658 0.3427 0.6389
O: 0.3769 0.0342 0.6389
O: 0.3427 0.3769 0.3611
O: 0.9658 0.6231 0.8611
O: 0.6573 0.0342 0.8611
O: 0.0342 0.6573 0.3611
As: 0.6667 0.3333 0.7500
As: 0.3333 0.6667 0.2500
Li: 0.0000 0.0000 0.0000
Li: 0.0000 0.0000 0.5000
U: 0.3333 0.6667 0.7500
U: 0.6667 0.3333 0.2500